# 1
DFT (PBE) results for crystalline AcDyB at its relaxed geometry.

a b c (Å): 4.7735 4.7735 4.7735
angles (deg): 60.00 60.00 60.00
With the nearest neighbours (Å) after each atom.
Atoms (fractional coordinates):
1 Dy 0.0000 0.0000 0.0000  4 B 2.92
2 B 0.2500 0.2500 0.2500  4 Ac 2.92, 4 Dy 2.92
3 Ac 0.5000 0.5000 0.5000  4 B 2.92

Values from the calculation:
Space group ... F-43m, No. 216
Volume ... 25.64 A^3/atom
Energy relative to the lowest polymorph listed for this composition ... 0.000 eV per atom
Final energy ... -4.8248 eV/atom

# 2
DFT (PBE) results for crystalline Ac2DyB4 at its relaxed geometry.

a b c (Å): 5.8947 5.8947 5.8947
angles (deg): 108.01 108.01 112.43
With the nearest neighbours (Å) after each atom.
Atoms (fractional coordinates):
1 B 0.6725 0.5000 0.1725  2 B 1.69
2 B 0.5000 0.6725 0.1725  2 B 1.69
3 B 0.3275 0.5000 0.8275  2 B 1.69
4 B 0.5000 0.3275 0.8275  2 B 1.69
5 Ac 0.7500 0.2500 0.5000  4 B 2.80
6 Ac 0.2500 0.7500 0.5000  4 B 2.80
7 Dy 0.0000 0.0000 0.0000  8 B 3.49, 8 Ac 3.83

Values from the calculation:
Space group ... I4/mmm, No. 139
Volume ... 22.48 A^3/atom
Final energy ... -4.8977 eV/atom

# 3
DFT (PBE) results for crystalline AcFeB4 at its relaxed geometry.

a b c (Å): 3.1866 3.1866 7.3114
angles (deg): 90.00 90.00 120.00
With the nearest neighbours (Å) after each atom.
Atoms (fractional coordinates):
1 Ac 0.0000 0.0000 0.0000  12 B 2.96, 6 Ac 3.19
2 B 0.3333 0.6667 0.3178  3 B 1.84
3 B 0.6667 0.3333 0.3178  3 B 1.84
4 B 0.6667 0.3333 0.6822  3 B 1.84
5 B 0.3333 0.6667 0.6822  3 B 1.84
6 Fe 0.0000 0.0000 0.5000  12 B 2.27

Values from the calculation:
Space group ... P6/mmm, No. 191
Volume ... 10.72 A^3/atom
Energy relative to the lowest polymorph listed for this composition ... 0.000 eV per atom
Final energy ... -6.4842 eV/atom

> volume of number 1 (AcDyB)?

25.64 A^3/atom